# AlMoIrRu

A geometry-optimized AlMoIrRu structure (PBE, Alexandria via LeMat-Bulk).

a b c (Å): 4.365 4.365 4.365
angles (deg): 60.00 60.00 60.00
Fractional coordinates of all 4 atoms:
Al 0.000 0.000 0.000
Mo 0.500 0.500 0.500
Ir 0.250 0.250 0.250
Ru 0.750 0.750 0.750

Calculated values
Formation enthalpy at 0 K = -0.24 eV per atom
Calculated volume = 14.704 Å³ per atom
Symmetry = F-43m, No. 216



# AlTe2MoIr

A geometry-optimized AlTe2MoIr structure (PBE, Alexandria via LeMat-Bulk).

a b c (Å): 5.260 5.260 4.826
angles (deg): 90.00 90.00 90.00
Fractional coordinates of all 5 atoms:
Al 0.000 0.000 0.000
Te 0.000 0.500 0.500
Te 0.500 0.000 0.500
Mo 0.500 0.500 0.500
Ir 0.500 0.500 0.000

Calculated values
Formation energy from raw total energies = 0.8907 eV/atom
Calculated volume = 26.707 Å³ per atom
Symmetry = P4/mmm, No. 123



# AlIr2N

A geometry-optimized AlIr2N structure (PBE, Alexandria via LeMat-Bulk).

a b c (Å): 4.141 4.141 4.141
angles (deg): 60.00 60.00 60.00
Fractional coordinates of all 4 atoms:
Al 0.000 0.000 0.000
Ir 0.250 0.250 0.250
Ir 0.750 0.750 0.750
N 0.500 0.500 0.500

Calculated values
Formation energy from raw total energies = 0.7548 eV/atom
Calculated volume = 12.555 Å³ per atom
Symmetry = Fm-3m, No. 225
Energy above the most stable polymorph in this dataset = 0.461 eV/atom



# AlIrN2

A geometry-optimized AlIrN2 structure (PBE, Alexandria via LeMat-Bulk).

a b c (Å): 6.278 6.278 6.278
angles (deg): 26.32 26.32 26.32
Fractional coordinates of all 4 atoms:
Al 0.000 0.000 0.000
Ir 0.500 0.500 0.500
N 0.395 0.395 0.395
N 0.605 0.605 0.605

Calculated values
Formation energy from raw total energies = -0.0626 eV/atom
Calculated volume = 10.721 Å³ per atom
Symmetry = R-3m, No. 166



# AlIr2N

A geometry-optimized AlIr2N structure (PBE, Alexandria via LeMat-Bulk).

a b c (Å): 5.952 5.952 5.952
angles (deg): 127.59 127.59 77.28
Fractional coordinates of all 8 atoms:
Al 0.000 0.000 0.000
Al 0.750 0.250 0.500
Ir 0.211 0.625 0.086
Ir 0.375 0.461 0.586
Ir 0.539 0.125 0.914
Ir 0.875 0.789 0.414
N 0.250 0.750 0.500
N 0.500 0.500 0.000

Calculated values
Formation energy from raw total energies = 0.2934 eV/atom
Calculated volume = 16.057 Å³ per atom
Symmetry = I-42d, No. 122
Energy above the most stable polymorph in this dataset = 0.000 eV/atom



# AlIr3N

A geometry-optimized AlIr3N structure (PBE, Alexandria via LeMat-Bulk).

a b c (Å): 4.485 4.485 4.485
angles (deg): 90.00 90.00 90.00
Fractional coordinates of all 5 atoms:
Al 0.000 0.000 0.000
Ir 0.000 0.000 0.500
Ir 0.000 0.500 0.000
Ir 0.500 0.000 0.000
N 0.500 0.500 0.500

Calculated values
Formation energy from raw total energies = 2.4335 eV/atom
Calculated volume = 18.049 Å³ per atom
Symmetry = Pm-3m, No. 221
Energy above the most stable polymorph in this dataset = 2.051 eV/atom



# AlIrN2

A geometry-optimized AlIrN2 structure (PBE, Alexandria via LeMat-Bulk).

a b c (Å): 5.400 5.400 5.400
angles (deg): 129.15 129.15 74.77
Fractional coordinates of all 8 atoms:
Al 0.000 0.000 0.000
Al 0.750 0.250 0.500
Ir 0.250 0.750 0.500
Ir 0.500 0.500 0.000
N 0.093 0.625 0.968
N 0.375 0.343 0.468
N 0.657 0.125 0.032
N 0.875 0.907 0.532

Calculated values
Formation energy from raw total energies = -0.1067 eV/atom
Calculated volume = 11.530 Å³ per atom
Symmetry = I-42d, No. 122



# AlIr3N

A geometry-optimized AlIr3N structure (PBE, Alexandria via LeMat-Bulk).

a b c (Å): 4.089 4.089 4.089
angles (deg): 90.00 90.00 90.00
Fractional coordinates of all 5 atoms:
Al 0.000 0.000 0.000
Ir 0.000 0.500 0.500
Ir 0.500 0.000 0.500
Ir 0.500 0.500 0.000
N 0.500 0.500 0.500

Calculated values
Formation energy from raw total energies = 0.3828 eV/atom
Calculated volume = 13.670 Å³ per atom
Symmetry = Pm-3m, No. 221
Energy above the most stable polymorph in this dataset = 0.000 eV/atom



no.,raw total energy (eV/atom)
1,-8.42
2,-5.05
3,-6.69
4,-7.38
5,-7.15
6,-5.30
7,-7.42
8,-7.35